1.
! PBE Pm10SmY6, optimized geometry; values from VASP
! **Formation energy from the elements**: 0.13 eV/atom
&SYSTEM
  ibrav = 0, nat = 17, ntyp = 3
/
ATOMIC_SPECIES
Pm 145.00 Pm.upf
Y 88.91 Y.upf
Sm 150.36 Sm.upf
CELL_PARAMETERS angstrom
6.9182 0.0000 0.0000
0.0000 8.5353 -4.9278
0.0000 0.0000 9.8557
ATOMIC_POSITIONS angstrom
Pm 1.2587 6.1822 -3.5693
Pm 1.2587 0.0000 7.1386
Pm 1.2587 2.3530 1.3585
Pm 0.0000 2.8451 4.9278
Pm 5.6594 2.3530 -1.3585
Pm 5.6594 0.0000 2.7170
Pm 0.0000 5.6902 0.0000
Pm 3.4591 2.8451 4.9278
Pm 5.6594 6.1822 3.5693
Pm 3.4591 5.6902 0.0000
Y 2.1344 5.3675 3.0990
Y 4.7838 3.1677 1.8289
Y 4.7838 0.0000 6.1979
Y 2.1344 3.1677 -1.8289
Y 4.7838 5.3675 -3.0990
Y 2.1344 0.0000 3.6578
Sm 3.4591 0.0000 0.0000



2.
! PBE Pm12Sm5Y2, optimized geometry; values from VASP
! **Formation energy from the elements**: 0.17 eV/atom
! **Polymorph energy (0 for the lowest one)**: 0.051 eV per atom
&SYSTEM
  ibrav = 0, nat = 19, ntyp = 3
/
ATOMIC_SPECIES
Y 88.91 Y.upf
Pm 145.00 Pm.upf
Sm 150.36 Sm.upf
CELL_PARAMETERS angstrom
-4.2573 -3.4244 4.5706
9.5503 -1.8133 1.9862
3.2741 6.4291 7.8666
ATOMIC_POSITIONS angstrom
Y -3.1118 -2.5030 3.3408
Y -1.1455 -0.9214 1.2298
Pm 0.8353 -0.6917 8.5557
Pm 7.7318 1.8831 5.8676
Pm 8.9784 4.0714 8.5975
Pm 2.9407 1.0017 6.2954
Pm 1.7483 -1.1428 3.5072
Pm 2.8663 4.6160 6.1282
Pm 9.6211 0.8191 9.5753
Pm 5.7008 -3.4246 8.2951
Pm 5.6264 0.1897 8.1279
Pm -0.4114 -2.8801 5.8258
Pm -1.0541 0.3723 4.8480
Pm 6.8187 2.3342 10.9162
Sm 5.4998 -0.9356 4.4218
Sm 5.4493 3.9204 8.0131
Sm 3.0673 2.1270 10.0016
Sm 3.1178 -2.7290 6.4103
Sm 1.6370 3.2146 3.9333



3.
! PBE PmSm3Y2, optimized geometry; values from VASP
! **Formation energy from the elements**: 0.01 eV/atom
&SYSTEM
  ibrav = 0, nat = 12, ntyp = 3
/
ATOMIC_SPECIES
Y 88.91 Y.upf
Pm 145.00 Pm.upf
Sm 150.36 Sm.upf
CELL_PARAMETERS angstrom
7.2254 0.0000 0.0000
0.0000 6.2226 0.5911
-3.6127 -0.8117 8.8195
ATOMIC_POSITIONS angstrom
Y 0.9000 5.1657 6.4135
Y -0.9000 2.0544 6.1180
Y 4.5128 3.3565 3.2926
Y 2.7127 0.2452 2.9971
Pm 0.9055 1.5556 0.1478
Pm 6.3200 4.6669 0.4433
Sm -0.9037 0.2431 2.9977
Sm 0.9037 3.3544 3.2932
Sm 2.7085 4.6669 0.4433
Sm 2.7090 2.0564 6.1174
Sm 4.5169 1.5556 0.1478
Sm 4.5164 5.1677 6.4129



4.
! PBE PmSm7Y4, optimized geometry; values from VASP
! **Formation energy from the elements**: 0.00 eV/atom
! **Polymorph energy (0 for the lowest one)**: 0.000 eV per atom
&SYSTEM
  ibrav = 0, nat = 12, ntyp = 3
/
ATOMIC_SPECIES
Sm 150.36 Sm.upf
Y 88.91 Y.upf
Pm 145.00 Pm.upf
CELL_PARAMETERS angstrom
6.4767 -1.8505 2.7590
0.7080 5.8499 2.2464
2.8533 -2.2954 10.9592
ATOMIC_POSITIONS angstrom
Sm 1.9838 2.4629 1.8192
Sm 8.0542 -0.7590 14.1454
Sm 7.3958 1.7613 7.8142
Sm 2.6423 -0.0574 8.1504
Sm 5.4239 -0.7022 5.9961
Sm 4.6141 2.4061 9.9685
Sm 3.2384 -0.9253 1.3795
Y 5.8911 -0.9779 9.5425
Y 2.1832 0.2164 4.6167
Y 7.8548 1.4875 11.3478
Y 4.1470 2.6818 6.4220
Pm 0.0000 0.0000 0.0000



5.
! PBE Pm2Sm2Y5, optimized geometry; values from VASP
! **Formation energy from the elements**: 0.01 eV/atom
! **Polymorph energy (0 for the lowest one)**: 0.000 eV per atom
&SYSTEM
  ibrav = 0, nat = 9, ntyp = 3
/
ATOMIC_SPECIES
Pm 145.00 Pm.upf
Y 88.91 Y.upf
Sm 150.36 Sm.upf
CELL_PARAMETERS angstrom
3.5459 0.5892 -0.0927
1.7725 11.2078 0.4071
1.7377 1.7193 7.6796
ATOMIC_POSITIONS angstrom
Pm 1.5642 1.9488 2.5842
Pm 5.4919 11.5675 5.4098
Y 2.5392 7.4260 5.3400
Y 3.1271 3.9105 5.1643
Y 0.0000 0.0000 0.0000
Y 3.9290 9.6058 2.8298
Y 4.5169 6.0904 2.6540
Sm 2.3601 7.6778 0.2435
Sm 4.6960 5.8386 7.7506



6.
! PBE Pm12Sm5Y2, optimized geometry; values from VASP
! **Formation energy from the elements**: 0.12 eV/atom
! **Polymorph energy (0 for the lowest one)**: 0.000 eV per atom
&SYSTEM
  ibrav = 0, nat = 19, ntyp = 3
/
ATOMIC_SPECIES
Pm 145.00 Pm.upf
Sm 150.36 Sm.upf
Y 88.91 Y.upf
CELL_PARAMETERS angstrom
9.3341 0.0000 0.0000
-4.6670 7.9723 -0.6035
0.0000 0.2728 8.8162
ATOMIC_POSITIONS angstrom
Pm 2.9795 5.8065 6.2804
Pm 4.6670 1.0219 2.9560
Pm 1.8253 5.9801 2.3746
Pm 4.6670 6.8144 0.5506
Pm 0.0000 7.2232 5.2566
Pm 0.0000 1.4307 7.6620
Pm 2.8417 2.2651 5.8381
Pm 7.6465 2.4387 1.9323
Pm -1.8253 5.9801 2.3746
Pm 1.6876 2.4387 1.9323
Pm -2.9795 5.8065 6.2804
Pm 6.4923 2.2651 5.8381
Sm 0.0000 0.1364 4.4081
Sm 4.6670 3.3098 0.0195
Sm 0.0000 3.8490 4.7257
Sm 0.0000 4.9354 8.1931
Sm 4.6670 4.3962 3.4869
Y 3.0676 0.0000 0.0000
Y 6.2665 0.0000 0.0000



7.
! PBE Pm7Sm12Y, optimized geometry; values from VASP
! **Formation energy from the elements**: 0.61 eV/atom
! **Polymorph energy (0 for the lowest one)**: 0.386 eV per atom
&SYSTEM
  ibrav = 0, nat = 20, ntyp = 3
/
ATOMIC_SPECIES
Sm 150.36 Sm.upf
Pm 145.00 Pm.upf
Y 88.91 Y.upf
CELL_PARAMETERS angstrom
9.4001 0.0000 -3.3234
-4.7001 8.1408 -3.3234
0.0000 0.0000 9.9703
ATOMIC_POSITIONS angstrom
Sm 5.8653 6.1158 -3.3429
Sm 3.5034 2.0249 -0.0027
Sm -0.0019 4.0465 0.0027
Sm 4.7020 4.0942 3.3207
Sm 7.0639 0.0034 -0.0195
Sm 1.1710 2.0216 3.3040
Sm 1.1967 6.1158 3.3262
Sm 3.5290 6.1192 0.0195
Sm -1.1947 6.1192 -3.3207
Sm -1.1652 2.0249 6.6664
Sm 5.8948 2.0216 6.6442
Sm -2.3638 8.1374 3.3429
Pm 2.3500 4.0704 -3.3234
Pm -2.3500 4.0704 3.3234
Pm 4.7001 0.0000 3.3234
Pm -2.3500 4.0704 -1.6617
Pm 4.7001 0.0000 -1.6617
Pm 2.3500 4.0704 1.6617
Pm 0.0000 0.0000 4.9852
Y 0.0000 0.0000 0.0000



8.
! PBE Pm3Sm6Y2, optimized geometry; values from VASP
! **Formation energy from the elements**: 0.28 eV/atom
! **Polymorph energy (0 for the lowest one)**: 0.262 eV per atom
&SYSTEM
  ibrav = 0, nat = 11, ntyp = 3
/
ATOMIC_SPECIES
Sm 150.36 Sm.upf
Y 88.91 Y.upf
Pm 145.00 Pm.upf
CELL_PARAMETERS angstrom
4.8046 0.0000 0.0000
0.0000 4.8046 0.0000
-2.4023 -2.4023 16.9103
ATOMIC_POSITIONS angstrom
Sm 2.4023 2.4023 6.7042
Sm 2.4023 0.0000 12.8163
Sm 0.0000 2.4023 12.8163
Sm 0.0000 0.0000 10.2061
Sm 0.0000 2.4023 4.0940
Sm 2.4023 0.0000 4.0940
Y 2.4023 2.4023 1.5507
Y 0.0000 0.0000 15.3596
Pm 0.0000 0.0000 0.0000
Pm 0.0000 0.0000 6.7725
Pm 2.4023 2.4023 10.1377



9.
! PBE Pm3Sm5Y2, optimized geometry; values from VASP
! **Formation energy from the elements**: 0.38 eV/atom
! **Polymorph energy (0 for the lowest one)**: 0.193 eV per atom
&SYSTEM
  ibrav = 0, nat = 20, ntyp = 3
/
ATOMIC_SPECIES
Sm 150.36 Sm.upf
Pm 145.00 Pm.upf
Y 88.91 Y.upf
CELL_PARAMETERS angstrom
11.0884 0.0031 0.0021
5.5467 8.3599 0.4114
5.5466 2.6153 7.9507
ATOMIC_POSITIONS angstrom
Sm 16.6342 6.2890 5.9219
Sm 8.3189 2.7530 2.1040
Sm 11.0918 3.6021 3.8748
Sm 5.5475 4.6892 2.4422
Sm 11.0899 7.3761 4.4894
Sm 8.3202 8.2168 6.2682
Sm 13.8638 5.4884 4.1845
Sm 8.3180 5.4898 4.1796
Sm 13.8615 2.7614 2.0960
Sm 13.8628 8.2252 6.2602
Pm 13.8621 2.6210 7.9476
Pm 8.3196 8.3572 0.4165
Pm 16.6369 8.3111 3.3365
Pm 5.5448 2.6671 5.0277
Pm 11.0891 5.5573 1.2384
Pm 11.0926 5.4209 7.1257
Y 11.0898 1.9217 0.3662
Y 5.5457 0.8633 1.7553
Y 16.6360 10.1149 6.6089
Y 11.0919 9.0565 7.9980



10.
! PBE Pm3SmY7, optimized geometry; values from VASP
! **Formation energy from the elements**: 0.14 eV/atom
! **Polymorph energy (0 for the lowest one)**: 0.000 eV per atom
&SYSTEM
  ibrav = 0, nat = 11, ntyp = 3
/
ATOMIC_SPECIES
Pm 145.00 Pm.upf
Y 88.91 Y.upf
Sm 150.36 Sm.upf
CELL_PARAMETERS angstrom
4.7342 -0.1093 -2.9441
-1.0473 9.9065 -2.0490
-1.0960 -0.7703 8.8208
ATOMIC_POSITIONS angstrom
Pm 0.4797 -0.6234 6.0750
Pm -0.5237 4.9533 -1.0245
Pm 2.1112 9.6502 -2.2473
Y -0.3313 2.3358 4.6569
Y 1.8191 -0.4398 2.9383
Y 0.1410 1.6122 0.1675
Y 2.4499 7.4147 3.6602
Y 2.9222 6.6911 -0.8293
Y 2.6470 3.3858 -1.1493
Y -0.0561 5.6411 4.9770
Sm 1.2954 4.5134 1.9138



11.
! PBE Pm12Sm7Y, optimized geometry; values from VASP
! **Formation energy from the elements**: 0.62 eV/atom
! **Polymorph energy (0 for the lowest one)**: 0.394 eV per atom
&SYSTEM
  ibrav = 0, nat = 20, ntyp = 3
/
ATOMIC_SPECIES
Pm 145.00 Pm.upf
Sm 150.36 Sm.upf
Y 88.91 Y.upf
CELL_PARAMETERS angstrom
9.4340 0.0000 -3.3354
-4.7170 8.1701 -3.3354
0.0000 0.0000 10.0063
ATOMIC_POSITIONS angstrom
Pm 7.0837 0.0015 -0.0116
Pm 5.8909 6.1339 -3.3470
Pm 1.1920 6.1339 3.3367
Pm 1.1764 2.0347 3.3238
Pm -1.1911 6.1354 -3.3342
Pm -0.0009 4.0708 0.0012
Pm 4.7179 4.0993 3.3342
Pm 3.5406 6.1354 0.0116
Pm -2.3667 8.1686 3.3470
Pm -1.1738 2.0362 6.6825
Pm 5.9081 2.0347 6.6696
Pm 3.5250 2.0362 -0.0012
Sm -2.3585 4.0850 3.3354
Sm 2.3585 4.0850 1.6677
Sm 0.0000 0.0000 5.0031
Sm 2.3585 4.0850 -3.3354
Sm 4.7170 0.0000 3.3354
Sm -2.3585 4.0850 -1.6677
Sm 4.7170 0.0000 -1.6677
Y 0.0000 0.0000 0.0000



12.
! PBE Pm5Sm3Y2, optimized geometry; values from VASP
! **Formation energy from the elements**: 0.18 eV/atom
&SYSTEM
  ibrav = 0, nat = 20, ntyp = 3
/
ATOMIC_SPECIES
Sm 150.36 Sm.upf
Y 88.91 Y.upf
Pm 145.00 Pm.upf
CELL_PARAMETERS angstrom
-9.5186 2.9370 -1.8068
4.7864 -4.2523 -7.8195
-0.1008 -6.0292 6.9395
ATOMIC_POSITIONS angstrom
Sm -2.7872 -1.9511 -2.8837
Sm -2.4859 0.4462 -0.3601
Sm -2.3471 -7.7907 -2.3267
Sm -6.4174 -3.1778 2.0923
Sm 1.5844 -4.1667 -4.7791
Sm -2.0457 -5.3934 0.1968
Y 4.3544 -5.5628 -5.9491
Y -9.1874 -1.7817 3.2623
Y -5.5586 -0.5586 -1.7125
Y 0.7256 -6.7859 -0.9743
Pm -2.9649 -3.9871 3.5431
Pm 0.6635 -2.7653 -1.4313
Pm -3.5236 -2.3667 0.5344
Pm 0.0086 -7.1611 2.4954
Pm -1.3093 -4.9778 -3.2212
Pm -5.4965 -4.5792 -1.2555
Pm -5.8653 -2.9582 -4.2998
Pm 1.0323 -4.3863 1.6129
Pm -4.8416 -0.1834 -5.1822
Pm -1.8681 -3.3574 -6.2299